Arrangement i

This record from Alexandria via LeMat-Bulk describes an optimized crystal structure of BaLiZr2. The functional is GGA-PBE.

Lattice parameters (Å, degrees): 6.664 6.664 5.381 66.63 66.63 29.32
Sites, in units of the cell vectors:
Ba 0.750 0.750 0.750
Li 0.250 0.250 0.250
Zr 0.974 0.974 0.028
Zr 0.526 0.526 0.472

Computed properties:
The spin magnetization is 0.00 μB/f.u.


Arrangement ii

This record from Alexandria via LeMat-Bulk describes an optimized crystal structure of BaLiZr2. The functional is GGA-PBE.

Lattice parameters (Å, degrees): 5.459 5.459 6.772 84.50 84.50 34.71
Sites, in units of the cell vectors:
Ba 0.500 0.500 0.486
Li 0.258 0.258 0.209
Zr 0.005 0.005 0.970
Zr 0.737 0.737 0.836

Computed properties:
The spin magnetization is 0.00 μB/f.u.


What is the least stable structure shown above? It is arrangement ii.